A relaxed structure of Ni2RuPt. Source: the Alexandria database, functional PBEsol.

The structure belongs to space group Cm (No. 8); the cell edges are 8.622, 2.633 and 4.419 Å and the angles 90.00°, 100.58° and 90.00°. The inequivalent atoms are Ni at (0.000, 0.000, 0.000), Ni at (0.247, 0.500, 0.240), Ru at (0.494, 0.000, 0.482) and Pt at (0.247, 0.000, 0.742).

The calculation puts the calculated total energy at -58.581 eV for the cell shown. The calculation puts the energy of formation at 0.040 eV per atom. As for the density of states at the Fermi level: 5.544 states/eV/f.u.



A relaxed structure of Ni2RuPt. Source: the Alexandria database, functional PBEsol.

The structure belongs to space group P4mm (No. 99); the cell edges are 2.649, 2.649 and 7.013 Å and the angles 90.00°, 90.00° and 90.00°. The inequivalent atoms are Ni at (0.000, 0.000, 0.000), Ni at (0.500, 0.500, 0.224), Ru at (0.500, 0.500, 0.763) and Pt at (0.000, 0.000, 0.484).

The calculation puts the calculated total energy at -29.271 eV for the cell shown. The calculation puts the energy of formation at 0.045 eV per atom. As for the density of states at the Fermi level: 4.742 states/eV/f.u.



A relaxed structure of Ni2RuPt. Source: the Alexandria database, functional PBEsol.

The structure belongs to space group Amm2 (No. 38); the cell edges are 3.939, 2.592 and 9.654 Å and the angles 90.00°, 90.00° and 90.00°. The inequivalent atoms are Ni at (0.000, 0.000, 0.000), Ni at (0.500, 0.000, 0.131), Ru at (0.000, 0.000, 0.737) and Pt at (0.500, 0.000, 0.388).

The calculation puts the calculated total energy at -58.253 eV for the cell shown. The calculation puts the energy of formation at 0.081 eV per atom. As for the density of states at the Fermi level: 6.447 states/eV/f.u.



A relaxed structure of Ni2RuPt. Source: the Alexandria database, functional PBEsol.

The structure belongs to space group P4/mmm (No. 123); the cell edges are 2.628, 2.628 and 7.126 Å and the angles 90.00°, 90.00° and 90.00°. The inequivalent atoms are Ni at (0.000, 0.000, 0.241), Ru at (0.500, 0.500, 0.000) and Pt at (0.500, 0.500, 0.500).

The calculation puts the calculated total energy at -29.396 eV for the cell shown. The calculation puts the energy of formation at 0.014 eV per atom. As for the density of states at the Fermi level: 3.940 states/eV/f.u.



A relaxed structure of Ni2RuPt. Source: the Alexandria database, functional PBEsol.

The structure belongs to space group I-4m2 (No. 119); the cell edges are 3.625, 3.625 and 7.474 Å and the angles 90.00°, 90.00° and 90.00°. The inequivalent atoms are Ni at (0.000, 0.000, 0.000), Ni at (0.000, 0.500, 0.250), Ru at (0.000, 0.000, 0.500) and Pt at (0.000, 0.500, 0.750).

The calculation puts the calculated total energy at -58.789 eV for the cell shown. The calculation puts the energy of formation at 0.014 eV per atom. As for the density of states at the Fermi level: 4.827 states/eV/f.u.



A relaxed structure of ScNiPt2S. Source: the Alexandria database, functional PBEsol.

The structure belongs to space group P4/mmm (No. 123); the cell edges are 4.724, 4.724 and 4.672 Å and the angles 90.00°, 90.00° and 90.00°. The inequivalent atoms are Sc at (0.000, 0.000, 0.000), Ni at (0.500, 0.500, 0.500), Pt at (0.000, 0.500, 0.000) and S at (0.000, 0.000, 0.500).

The calculation puts the calculated total energy at -26.555 eV for the cell shown. As for the density of states at the Fermi level: 8.347 states/eV/f.u. As for the formation energy (no corrections): 0.904 eV per atom.



A relaxed structure of Sr2NiPtS. Source: the Alexandria database, functional PBEsol.

The structure belongs to space group P4/mmm (No. 123); the cell edges are 5.636, 5.636 and 4.480 Å and the angles 90.00°, 90.00° and 90.00°. The inequivalent atoms are Sr at (0.000, 0.500, 0.000), Ni at (0.000, 0.000, 0.500), Pt at (0.000, 0.000, 0.000) and S at (0.500, 0.500, 0.500).

The calculation puts the calculated total energy at -22.984 eV for the cell shown. As for the density of states at the Fermi level: 4.824 states/eV/f.u. As for the formation energy (no corrections): -0.360 eV per atom.



A relaxed structure of Ni2SbPt. Source: the Alexandria database, functional PBEsol.

The structure belongs to space group I4/mmm (No. 139); the cell edges are 4.022, 4.022 and 6.816 Å and the angles 90.00°, 90.00° and 90.00°. The inequivalent atoms are Ni at (0.000, 0.500, 0.250), Sb at (0.000, 0.000, 0.000) and Pt at (0.000, 0.000, 0.500).

The calculation puts the calculated total energy at -48.931 eV for the cell shown. As for the density of states at the Fermi level: 2.872 states/eV/f.u. As for the formation energy (no corrections): -0.157 eV per atom.



A relaxed structure of Ni2SbPt. Source: the Alexandria database, functional PBEsol.

The structure belongs to space group R-3m (No. 166, hexagonal axes); the cell edges are 2.9635, 2.9635 and 23.1197 Å and the angles 90.00°, 90.00° and 120.00°. The inequivalent atoms are Ni at (0.0000, 0.0000, 0.2483), Sb at (0.0000, 0.0000, 0.5000) and Pt at (0.0000, 0.0000, 0.0000).

The calculation puts the calculated total energy at -69.280 eV for the cell shown. As for the density of states at the Fermi level: 5.460 states/eV/f.u. As for the formation energy (no corrections): 0.186 eV per atom.



A relaxed structure of Ni2SbPt. Source: the Alexandria database, functional PBEsol.

The structure belongs to space group P4/mmm (No. 123); the cell edges are 3.244, 3.244 and 5.378 Å and the angles 90.00°, 90.00° and 90.00°. The inequivalent atoms are Ni at (0.000, 0.000, 0.250), Sb at (0.500, 0.500, 0.000) and Pt at (0.500, 0.500, 0.500).

The calculation puts the calculated total energy at -24.011 eV for the cell shown. As for the density of states at the Fermi level: 3.891 states/eV/f.u. As for the formation energy (no corrections): -0.044 eV per atom.



A relaxed structure of Ni2SbPt. Source: the Alexandria database, functional PBEsol.

The structure belongs to space group P4/mmm (No. 123); the cell edges are 3.909, 3.909 and 3.606 Å and the angles 90.00°, 90.00° and 90.00°. The inequivalent atoms are Ni at (0.000, 0.500, 0.000), Sb at (0.000, 0.000, 0.500) and Pt at (0.500, 0.500, 0.500).

The calculation puts the calculated total energy at -24.632 eV for the cell shown. As for the density of states at the Fermi level: 2.550 states/eV/f.u. As for the formation energy (no corrections): -0.199 eV per atom.



A relaxed structure of Ni2SbPt. Source: the Alexandria database, functional PBEsol.

The structure belongs to space group I-4m2 (No. 119); the cell edges are 3.777, 3.777 and 7.734 Å and the angles 90.00°, 90.00° and 90.00°. The inequivalent atoms are Ni at (0.000, 0.000, 0.000), Ni at (0.000, 0.500, 0.250), Sb at (0.000, 0.500, 0.750) and Pt at (0.000, 0.000, 0.500).

The calculation puts the calculated total energy at -49.096 eV for the cell shown. As for the density of states at the Fermi level: 2.633 states/eV/f.u. As for the formation energy (no corrections): -0.178 eV per atom.



A relaxed structure of Sc2NiPt. Source: the Alexandria database, functional PBEsol.

The structure belongs to space group Amm2 (No. 38); the cell edges are 4.212, 3.400 and 9.610 Å and the angles 90.00°, 90.00° and 90.00°. The inequivalent atoms are Sc at (0.000, 0.000, 0.000), Sc at (0.500, 0.000, 0.283), Ni at (0.500, 0.000, 0.558) and Pt at (0.000, 0.000, 0.721).

The calculation puts the calculated total energy at -59.278 eV for the cell shown. The calculation puts the energy of formation at -0.827 eV per atom. As for the density of states at the Fermi level: 3.280 states/eV/f.u.



A relaxed structure of Sc2NiPt. Source: the Alexandria database, functional PBEsol.

The structure belongs to space group P4/mmm (No. 123); the cell edges are 4.524, 4.524 and 3.204 Å and the angles 90.00°, 90.00° and 90.00°. The inequivalent atoms are Sc at (0.000, 0.500, 0.000), Ni at (0.000, 0.000, 0.500) and Pt at (0.500, 0.500, 0.500).

The calculation puts the calculated total energy at -29.762 eV for the cell shown. The calculation puts the energy of formation at -0.858 eV per atom. As for the density of states at the Fermi level: 2.451 states/eV/f.u.



A relaxed structure of Sc2NiPt. Source: the Alexandria database, functional PBEsol.

The structure belongs to space group Fm-3m (No. 225); the cell edges are 6.397, 6.397 and 6.397 Å and the angles 90.00°, 90.00° and 90.00°. The inequivalent atoms are Sc at (0.250, 0.250, 0.250), Ni at (0.000, 0.000, 0.000) and Pt at (0.000, 0.000, 0.500).

The calculation puts the calculated total energy at -119.229 eV for the cell shown. The calculation puts the energy of formation at -0.869 eV per atom. As for the density of states at the Fermi level: 2.461 states/eV/f.u.



| no. | calculated density (Mg/m³) |
| --- | --- |
| 1 | 13.93 |
| 2 | 13.95 |
| 3 | 13.93 |
| 4 | 13.95 |
| 5 | 13.98 |
| 6 | 8.38 |
| 7 | 5.38 |
| 8 | 13.08 |
| 9 | 12.30 |
| 10 | 12.74 |
| 11 | 13.09 |
| 12 | 13.07 |
| 13 | 8.29 |
| 14 | 8.70 |
| 15 | 8.72 |